Entry 1:
VASP calculation (PBE) on CsCeSe3 after structural relaxation.

a b c (Å): 5.646 5.646 5.646
angles (deg): 90.00 90.00 90.00
Atoms (fractional coordinates):
Cs (0.000, 0.000, 0.000)
Ce (0.500, 0.500, 0.500)
Se (0.000, 0.500, 0.500)
Se (0.500, 0.000, 0.500)
Se (0.500, 0.500, 0.000)

Summary:
For the raw total energy, the calculation gives -4.739 eV per atom. The energy above the most stable polymorph in this dataset is 57 meV per atom. The formation energy from raw total energies comes out at -1.29 eV per atom.


Entry 2:
VASP calculation (PBE) on Si3Pb after structural relaxation.

a b c (Å): 4.630 4.630 3.675
angles (deg): 90.00 90.00 90.00
Atoms (fractional coordinates):
Si (0.000, 0.000, 0.000)
Si (0.000, 0.500, 0.500)
Si (0.500, 0.000, 0.500)
Pb (0.500, 0.500, 0.000)

Summary:
For the raw total energy, the calculation gives -4.249 eV per atom. The energy above the most stable polymorph in this dataset is 359 meV per atom. The formation energy from raw total energies comes out at 0.75 eV per atom.